Entry 1
Computed, not measured: an optimized crystal structure of RbYF2 at the PBE level of DFT.

Cell: 7.7387 7.7387 7.7387 Å, 30.16 30.16 30.16°
Positions (direct):
Rb: 0.0000 0.0000 0.0000
Y: 0.5000 0.5000 0.5000
F: 0.1445 0.1445 0.1445
F: 0.8555 0.8555 0.8555

Summary:
* size of the total moment: 0.00 μB/f.u.
* crystal system: trigonal

Entry 2
Computed, not measured: an optimized crystal structure of RbYF2 at the PBE level of DFT.

Cell: 4.8000 4.8000 4.8000 Å, 60.00 60.00 60.00°
Positions (direct):
Rb: 0.0000 0.0000 0.0000
Y: 0.5000 0.5000 0.5000
F: 0.2500 0.2500 0.2500
F: 0.7500 0.7500 0.7500

Summary:
* size of the total moment: 1.79 μB/f.u.
* crystal system: cubic

How do the energies compare? Relative to the most stable structure, in eV/atom: entry 1 0.000; entry 2 0.895.

Entry 1
Computed, not measured: an optimized crystal structure of RbYF3 at the PBE level of DFT.

Cell: 4.6284 4.6284 4.6284 Å, 90.00 90.00 90.00°
Positions (direct):
Rb: 0.0000 0.0000 0.0000
Y: 0.5000 0.5000 0.5000
F: 0.0000 0.5000 0.5000
F: 0.5000 0.0000 0.5000
F: 0.5000 0.5000 0.0000

Summary:
* size of the total moment: 0.56 μB/f.u.
* crystal system: cubic

Entry 2
Computed, not measured: an optimized crystal structure of RbYF3 at the PBE level of DFT.

Cell: 4.8544 4.8544 4.8544 Å, 90.00 90.00 90.00°
Positions (direct):
Rb: 0.0000 0.0000 0.0000
Y: 0.5000 0.5000 0.5000
F: 0.0000 0.0000 0.5000
F: 0.0000 0.5000 0.0000
F: 0.5000 0.0000 0.0000

Summary:
* size of the total moment: 0.95 μB/f.u.
* crystal system: cubic

How do the energies compare? Relative to the most stable structure, in eV/atom: entry 1 0.000; entry 2 1.253.

Entry 1
Computed, not measured: an optimized crystal structure of Rb2Zn2F7 at the PBE level of DFT.

Cell: 7.4782 7.4782 3.8234 Å, 90.02 90.02 115.85°
Positions (direct):
Rb: 0.2455 0.7545 0.0000
Rb: 0.7545 0.2455 0.0000
Zn: 0.2500 0.2500 0.5022
Zn: 0.7500 0.7500 0.4978
F: 0.0000 0.0000 0.5000
F: 0.1222 0.4210 0.5023
F: 0.3142 0.3142 0.0023
F: 0.4210 0.1222 0.5023
F: 0.5790 0.8778 0.4977
F: 0.6858 0.6858 0.9977
F: 0.8778 0.5790 0.4977

Summary:
* size of the total moment: 0.00 μB/f.u.
* crystal system: monoclinic

Entry 2
Computed, not measured: an optimized crystal structure of Rb2Zn2F7 at the PBE level of DFT.

Cell: 5.2182 5.2182 6.4058 Å, 90.00 90.00 97.87°
Positions (direct):
Rb: 0.2346 0.2346 0.0000
Rb: 0.7654 0.7654 0.0000
Zn: 0.2731 0.7269 0.5000
Zn: 0.7269 0.2731 0.5000
F: 0.0000 0.0000 0.5000
F: 0.0000 0.5000 0.3001
F: 0.0000 0.5000 0.6999
F: 0.5000 0.0000 0.3001
F: 0.5000 0.0000 0.6999
F: 0.5000 0.5000 0.3071
F: 0.5000 0.5000 0.6929

Summary:
* size of the total moment: 1.11 μB/f.u.
* crystal system: orthorhombic

How do the energies compare? Relative to the most stable structure, in eV/atom: entry 1 0.000; entry 2 0.141.

Entry 1
Computed, not measured: an optimized crystal structure of RbZnF2 at the PBE level of DFT.

Cell: 4.6437 4.6437 4.6437 Å, 60.00 60.00 60.00°
Positions (direct):
Rb: 0.0000 0.0000 0.0000
Zn: 0.5000 0.5000 0.5000
F: 0.2500 0.2500 0.2500
F: 0.7500 0.7500 0.7500

Summary:
* size of the total moment: 0.76 μB/f.u.
* crystal system: cubic

Entry 2
Computed, not measured: an optimized crystal structure of RbZnF2 at the PBE level of DFT.

Cell: 6.4380 6.4380 6.4380 Å, 127.92 127.92 76.75°
Positions (direct):
Rb: 0.0000 0.0000 0.0000
Rb: 0.7500 0.2500 0.5000
Zn: 0.2500 0.7500 0.5000
Zn: 0.5000 0.5000 0.0000
F: 0.2115 0.6250 0.0865
F: 0.3750 0.4615 0.5865
F: 0.5385 0.1250 0.9135
F: 0.8750 0.7885 0.4135

Summary:
* size of the total moment: 0.00 μB/f.u.
* crystal system: tetragonal

Entry 3
Computed, not measured: an optimized crystal structure of RbZnF2 at the PBE level of DFT.

Cell: 7.6749 7.6749 7.6749 Å, 25.63 25.63 25.63°
Positions (direct):
Rb: 0.0000 0.0000 0.0000
Zn: 0.5000 0.5000 0.5000
F: 0.4127 0.4127 0.4127
F: 0.5873 0.5873 0.5873

Summary:
* size of the total moment: 0.00 μB/f.u.
* crystal system: trigonal

How do the energies compare? Relative to the most stable structure, in eV/atom: entry 1 0.304; entry 2 0.000; entry 3 0.046.

Entry 1
Computed, not measured: an optimized crystal structure of Rb2ZnF4 at the PBE level of DFT.

Cell: 6.7573 5.7537 7.1511 Å, 90.00 113.77 90.00°
Positions (direct):
Rb: 0.0108 0.2500 0.1550
Rb: 0.3370 0.7500 0.5205
Rb: 0.6630 0.2500 0.4795
Rb: 0.9892 0.7500 0.8450
Zn: 0.3839 0.2500 0.8748
Zn: 0.6161 0.7500 0.1252
F: 0.0609 0.2500 0.7922
F: 0.2996 0.2500 0.5613
F: 0.3869 0.0017 0.1071
F: 0.3869 0.4983 0.1071
F: 0.6131 0.5017 0.8929
F: 0.6131 0.9983 0.8929
F: 0.7004 0.7500 0.4387
F: 0.9391 0.7500 0.2078

Summary:
* size of the total moment: 0.00 μB/f.u.
* crystal system: monoclinic

Entry 2
Computed, not measured: an optimized crystal structure of Rb2ZnF4 at the PBE level of DFT.

Cell: 7.5488 7.5488 7.5488 Å, 147.49 147.49 46.64°
Positions (direct):
Rb: 0.1457 0.1457 0.0000
Rb: 0.8543 0.8543 0.0000
Zn: 0.5000 0.5000 0.0000
F: 0.0000 0.5000 0.5000
F: 0.3526 0.3526 0.0000
F: 0.5000 0.0000 0.5000
F: 0.6474 0.6474 0.0000

Summary:
* size of the total moment: 0.00 μB/f.u.
* crystal system: tetragonal

How do the energies compare? Relative to the most stable structure, in eV/atom: entry 1 0.075; entry 2 0.000.

Entry 1
Computed, not measured: an optimized crystal structure of RbZn3F at the PBE level of DFT.

Cell: 5.2421 5.2421 5.2421 Å, 90.00 90.00 90.00°
Positions (direct):
Rb: 0.0000 0.0000 0.0000
Zn: 0.0000 0.5000 0.5000
Zn: 0.5000 0.0000 0.5000
Zn: 0.5000 0.5000 0.0000
F: 0.5000 0.5000 0.5000

Summary:
* size of the total moment: 0.00 μB/f.u.
* crystal system: cubic

Entry 2
Computed, not measured: an optimized crystal structure of RbZn3F at the PBE level of DFT.

Cell: 6.8510 6.8510 6.8510 Å, 90.00 90.00 90.00°
Positions (direct):
Rb: 0.0000 0.0000 0.0000
Zn: 0.0000 0.0000 0.5000
Zn: 0.0000 0.5000 0.0000
Zn: 0.5000 0.0000 0.0000
F: 0.5000 0.5000 0.5000

Summary:
* size of the total moment: 0.02 μB/f.u.
* crystal system: cubic

How do the energies compare? Relative to the most stable structure, in eV/atom: entry 1 0.000; entry 2 0.490.

Entry 1
Computed, not measured: an optimized crystal structure of RbZr2F at the PBE level of DFT.

Cell: 7.0618 7.0618 7.0618 Å, 119.95 119.95 90.08°
Positions (direct):
Rb: 0.0000 0.0000 0.0000
Rb: 0.7500 0.2500 0.5000
Zr: 0.3721 0.1250 0.7471
Zr: 0.3750 0.6279 0.7529
Zr: 0.3779 0.6250 0.2529
Zr: 0.8750 0.6221 0.2471
F: 0.2500 0.7500 0.5000
F: 0.5000 0.5000 0.0000

Summary:
* size of the total moment: 0.00 μB/f.u.
* crystal system: tetragonal

Entry 2
Computed, not measured: an optimized crystal structure of RbZr2F at the PBE level of DFT.

Cell: 5.0891 5.0891 5.0891 Å, 60.00 60.00 60.00°
Positions (direct):
Rb: 0.0000 0.0000 0.0000
Zr: 0.2500 0.2500 0.2500
Zr: 0.7500 0.7500 0.7500
F: 0.5000 0.5000 0.5000

Summary:
* size of the total moment: 0.00 μB/f.u.
* crystal system: cubic

How do the energies compare? Relative to the most stable structure, in eV/atom: entry 1 0.000; entry 2 0.976.

Entry 1
Computed, not measured: an optimized crystal structure of Rb2ZrF2 at the PBE level of DFT.

Cell: 8.1481 8.1481 3.6292 Å, 90.00 90.00 90.00°
Positions (direct):
Rb: 0.1420 0.3580 0.0000
Rb: 0.3580 0.8580 0.0000
Rb: 0.6420 0.1420 0.0000
Rb: 0.8580 0.6420 0.0000
Zr: 0.0000 0.0000 0.5000
Zr: 0.5000 0.5000 0.5000
F: 0.1722 0.6722 0.5000
F: 0.3278 0.1722 0.5000
F: 0.6722 0.8278 0.5000
F: 0.8278 0.3278 0.5000

Summary:
* size of the total moment: 2.76 μB/f.u.
* crystal system: tetragonal

Entry 2
Computed, not measured: an optimized crystal structure of Rb2ZrF2 at the PBE level of DFT.

Cell: 8.3689 8.3689 8.3689 Å, 144.79 144.79 50.64°
Positions (direct):
Rb: 0.2500 0.7500 0.5000
Rb: 0.7500 0.2500 0.5000
Zr: 0.0000 0.0000 0.0000
F: 0.3092 0.3092 0.0000
F: 0.6908 0.6908 0.0000

Summary:
* size of the total moment: 2.88 μB/f.u.
* crystal system: tetragonal

How do the energies compare? Relative to the most stable structure, in eV/atom: entry 1 0.000; entry 2 0.299.

Entry 1
Computed, not measured: an optimized crystal structure of Re3RhF at the PBE level of DFT.

Cell: 4.7275 4.7275 4.7275 Å, 90.00 90.00 90.00°
Positions (direct):
Re: 0.0000 0.0000 0.5000
Re: 0.0000 0.5000 0.0000
Re: 0.5000 0.0000 0.0000
Rh: 0.0000 0.0000 0.0000
F: 0.5000 0.5000 0.5000

Summary:
* size of the total moment: 3.99 μB/f.u.
* crystal system: cubic

Entry 2
Computed, not measured: an optimized crystal structure of Re3RhF at the PBE level of DFT.

Cell: 4.1586 4.1586 4.1586 Å, 90.00 90.00 90.00°
Positions (direct):
Re: 0.0000 0.0000 0.5000
Re: 0.0000 0.5000 0.0000
Re: 0.5000 0.0000 0.0000
Rh: 0.5000 0.5000 0.5000
F: 0.0000 0.0000 0.0000

Summary:
* size of the total moment: 0.00 μB/f.u.
* crystal system: cubic

How do the energies compare? Relative to the most stable structure, in eV/atom: entry 1 1.151; entry 2 0.000.

Entry 1
Computed, not measured: an optimized crystal structure of ReRuF2 at the PBE level of DFT.

Cell: 9.2328 9.2328 9.2328 Å, 16.75 16.75 16.75°
Positions (direct):
Re: 0.0000 0.0000 0.0000
Ru: 0.5000 0.5000 0.5000
F: 0.0705 0.0705 0.0705
F: 0.9295 0.9295 0.9295

Summary:
* size of the total moment: 2.04 μB/f.u.
* crystal system: trigonal

Entry 2
Computed, not measured: an optimized crystal structure of ReRuF2 at the PBE level of DFT.

Cell: 4.1166 4.1166 4.1166 Å, 60.00 60.00 60.00°
Positions (direct):
Re: 0.0000 0.0000 0.0000
Ru: 0.5000 0.5000 0.5000
F: 0.2500 0.2500 0.2500
F: 0.7500 0.7500 0.7500

Summary:
* size of the total moment: 0.00 μB/f.u.
* crystal system: cubic

How do the energies compare? Relative to the most stable structure, in eV/atom: entry 1 0.000; entry 2 1.327.

Entry 1
Computed, not measured: an optimized crystal structure of ReRuF2 at the PBE level of DFT.

Cell: 8.4007 8.4007 8.4007 Å, 18.15 18.15 18.15°
Positions (direct):
Re: 0.0000 0.0000 0.0000
Ru: 0.5000 0.5000 0.5000
F: 0.4182 0.4182 0.4182
F: 0.5818 0.5818 0.5818

Summary:
* size of the total moment: 0.58 μB/f.u.
* crystal system: trigonal

Entry 2
Computed, not measured: an optimized crystal structure of ReRuF2 at the PBE level of DFT.

Cell: 5.8819 5.8819 5.8819 Å, 128.56 128.56 75.72°
Positions (direct):
Re: 0.0000 0.0000 0.0000
Re: 0.7500 0.2500 0.5000
Ru: 0.2500 0.7500 0.5000
Ru: 0.5000 0.5000 0.0000
F: 0.1108 0.6250 0.9858
F: 0.3750 0.3608 0.4858
F: 0.6392 0.1250 0.0142
F: 0.8750 0.8892 0.5142

Summary:
* size of the total moment: 1.13 μB/f.u.
* crystal system: tetragonal

How do the energies compare? Relative to the most stable structure, in eV/atom: entry 1 0.000; entry 2 1.212.

Entry 1
Computed, not measured: an optimized crystal structure of ReTc2RuF at the PBE level of DFT.

Cell: 4.7536 4.7536 4.7244 Å, 90.00 90.00 90.00°
Positions (direct):
Re: 0.0000 0.0000 0.0000
Tc: 0.0000 0.5000 0.0000
Tc: 0.5000 0.0000 0.0000
Ru: 0.0000 0.0000 0.5000
F: 0.5000 0.5000 0.5000

Summary:
* size of the total moment: 4.94 μB/f.u.
* crystal system: tetragonal

Entry 2
Computed, not measured: an optimized crystal structure of ReTc2RuF at the PBE level of DFT.

Cell: 4.6951 4.6951 3.7228 Å, 90.00 90.00 90.00°
Positions (direct):
Re: 0.0000 0.0000 0.0000
Tc: 0.0000 0.5000 0.5000
Tc: 0.5000 0.0000 0.5000
Ru: 0.5000 0.5000 0.5000
F: 0.5000 0.5000 0.0000

Summary:
* size of the total moment: 0.00 μB/f.u.
* crystal system: tetragonal

How do the energies compare? Relative to the most stable structure, in eV/atom: entry 1 0.370; entry 2 0.000.

Entry 1
Computed, not measured: an optimized crystal structure of Re2SF at the PBE level of DFT.

Cell: 5.9251 5.9251 5.9251 Å, 125.80 125.80 80.22°
Positions (direct):
Re: 0.1148 0.6250 0.9898
Re: 0.3750 0.3648 0.4898
Re: 0.6352 0.1250 0.0102
Re: 0.8750 0.8852 0.5102
S: 0.0000 0.0000 0.0000
S: 0.7500 0.2500 0.5000
F: 0.2500 0.7500 0.5000
F: 0.5000 0.5000 0.0000

Summary:
* size of the total moment: 0.00 μB/f.u.
* crystal system: tetragonal

Entry 2
Computed, not measured: an optimized crystal structure of Re2SF at the PBE level of DFT.

Cell: 4.1111 4.1111 4.1111 Å, 60.00 60.00 60.00°
Positions (direct):
Re: 0.2500 0.2500 0.2500
Re: 0.7500 0.7500 0.7500
S: 0.0000 0.0000 0.0000
F: 0.5000 0.5000 0.5000

Summary:
* size of the total moment: 0.00 μB/f.u.
* crystal system: cubic

How do the energies compare? Relative to the most stable structure, in eV/atom: entry 1 0.367; entry 2 0.000.